[1]
# PBE-GGA CrBTeAuI, optimized geometry
data_CrBTeAuI
_symmetry_space_group_name_H-M 'P 1'
_symmetry_Int_Tables_number 1
_cell_length_a 7.710
_cell_length_b 3.404
_cell_length_c 10.131
_cell_angle_alpha 90.00
_cell_angle_beta 106.26
_cell_angle_gamma 90.00
loop_
_symmetry_equiv_pos_as_xyz
'x,y,z'
loop_
_atom_site_label
_atom_site_fract_x
_atom_site_fract_y
_atom_site_fract_z
_atom_site_occupancy
Au1 0.529 0.000 0.912 1
Au2 0.529 0.500 0.412 1
I1 0.921 0.000 0.298 1
I2 0.921 0.500 0.798 1
B1 0.558 0.000 0.559 1
B2 0.558 0.500 0.059 1
Cr1 0.578 0.500 0.681 1
Cr2 0.578 0.000 0.181 1
Te1 0.308 0.000 0.651 1
Te2 0.308 0.500 0.151 1
# * relative energy among the computed polymorphs: 46.5 meV/atom
# * space group: No. 8
# * total DFT energy (no corrections): -4.63 eV/atom
# * uncorrected formation energy: 0.22 eV/atom
# * DOS(E_F): 0.539 states/eV/atom
# * density: 6.69 g/cm³
# * calculated volume: 255 Å³/cell


[2]
# PBE-GGA CsNaMg2N, optimized geometry
data_CsNaMg2N
_symmetry_space_group_name_H-M 'P 1'
_symmetry_Int_Tables_number 1
_cell_length_a 4.498
_cell_length_b 6.416
_cell_length_c 4.498
_cell_angle_alpha 90.00
_cell_angle_beta 90.00
_cell_angle_gamma 90.00
loop_
_symmetry_equiv_pos_as_xyz
'x,y,z'
loop_
_atom_site_label
_atom_site_fract_x
_atom_site_fract_y
_atom_site_fract_z
_atom_site_occupancy
Mg1 0.000 0.000 0.500 1
Mg2 0.500 0.000 0.000 1
Na1 0.000 0.500 0.000 1
Cs1 0.500 0.500 0.500 1
N1 0.000 0.000 0.000 1
# * space group: No. 123
# * total DFT energy (no corrections): -2.42 eV/atom
# * uncorrected formation energy: 0.32 eV/atom
# * DOS(E_F): 0.739 states/eV/atom
# * density: 2.80 g/cm³
# * calculated volume: 130 Å³/cell


[3]
# PBE-GGA YAuSe2O, optimized geometry
data_YAuSe2O
_symmetry_space_group_name_H-M 'P 1'
_symmetry_Int_Tables_number 1
_cell_length_a 5.427
_cell_length_b 5.727
_cell_length_c 5.427
_cell_angle_alpha 90.00
_cell_angle_beta 90.00
_cell_angle_gamma 90.00
loop_
_symmetry_equiv_pos_as_xyz
'x,y,z'
loop_
_atom_site_label
_atom_site_fract_x
_atom_site_fract_y
_atom_site_fract_z
_atom_site_occupancy
Se1 0.000 0.000 0.500 1
Se2 0.500 0.000 0.000 1
O1 0.500 0.500 0.500 1
Au1 0.000 0.500 0.000 1
Y1 0.000 0.000 0.000 1
# * space group: No. 123
# * total DFT energy (no corrections): -3.79 eV/atom
# * uncorrected formation energy: 0.55 eV/atom
# * DOS(E_F): 1.957 states/eV/atom
# * density: 4.53 g/cm³
# * calculated volume: 169 Å³/cell


[4]
# PBE-GGA Mn2InSnPd4, optimized geometry
data_Mn2InSnPd4
_symmetry_space_group_name_H-M 'P 1'
_symmetry_Int_Tables_number 1
_cell_length_a 7.859
_cell_length_b 7.859
_cell_length_c 7.859
_cell_angle_alpha 33.52
_cell_angle_beta 33.52
_cell_angle_gamma 33.52
loop_
_symmetry_equiv_pos_as_xyz
'x,y,z'
loop_
_atom_site_label
_atom_site_fract_x
_atom_site_fract_y
_atom_site_fract_z
_atom_site_occupancy
Pd1 0.624 0.624 0.624 1
Pd2 0.376 0.376 0.376 1
Pd3 0.874 0.874 0.874 1
Pd4 0.126 0.126 0.126 1
Sn1 0.500 0.500 0.500 1
In1 0.000 0.000 0.000 1
Mn1 0.749 0.749 0.749 1
Mn2 0.251 0.251 0.251 1
# * space group: No. 166
# * total DFT energy (no corrections): -6.14 eV/atom
# * DOS(E_F): 0.299 states/eV/atom
# * density: 9.69 g/cm³
# * calculated volume: 132 Å³/cell


[5]
# PBE-GGA AlNi14Pt, optimized geometry
data_AlNi14Pt
_symmetry_space_group_name_H-M 'P 1'
_symmetry_Int_Tables_number 1
_cell_length_a 5.055
_cell_length_b 5.055
_cell_length_c 8.246
_cell_angle_alpha 90.00
_cell_angle_beta 90.00
_cell_angle_gamma 120.28
loop_
_symmetry_equiv_pos_as_xyz
'x,y,z'
loop_
_atom_site_label
_atom_site_fract_x
_atom_site_fract_y
_atom_site_fract_z
_atom_site_occupancy
Ni1 0.875 0.125 0.752 1
Ni2 0.208 0.291 0.000 1
Ni3 0.373 0.627 0.244 1
Ni4 0.374 0.121 0.243 1
Ni5 0.709 0.291 0.000 1
Ni6 0.209 0.791 0.000 1
Ni7 0.709 0.792 0.000 1
Ni8 0.879 0.626 0.757 1
Ni9 0.875 0.125 0.248 1
Ni10 0.540 0.958 0.500 1
Ni11 0.042 0.460 0.500 1
Ni12 0.373 0.627 0.756 1
Ni13 0.374 0.121 0.757 1
Ni14 0.879 0.626 0.243 1
Pt1 0.540 0.460 0.500 1
Al1 0.041 0.959 0.500 1
# * space group: No. 38
# * total DFT energy (no corrections): -5.78 eV/atom
# * DOS(E_F): 1.563 states/eV/atom
# * density: 9.52 g/cm³
# * calculated volume: 182 Å³/cell


[6]
# PBE-GGA U2PaP3, optimized geometry
data_U2PaP3
_symmetry_space_group_name_H-M 'P 1'
_symmetry_Int_Tables_number 1
_cell_length_a 3.920
_cell_length_b 5.572
_cell_length_c 6.856
_cell_angle_alpha 113.98
_cell_angle_beta 106.61
_cell_angle_gamma 90.00
loop_
_symmetry_equiv_pos_as_xyz
'x,y,z'
loop_
_atom_site_label
_atom_site_fract_x
_atom_site_fract_y
_atom_site_fract_z
_atom_site_occupancy
U1 0.334 0.834 0.668 1
U2 0.666 0.166 0.332 1
P1 0.668 0.668 0.337 1
P2 0.332 0.332 0.663 1
P3 0.000 0.000 0.000 1
Pa1 0.000 0.500 0.000 1
# * relative energy among the computed polymorphs: 0.0 meV/atom
# * space group: No. 71
# * total DFT energy (no corrections): -9.13 eV/atom
# * DOS(E_F): 2.615 states/eV/atom
# * density: 10.22 g/cm³
# * calculated volume: 130 Å³/cell


[7]
# PBE-GGA SrYH2, optimized geometry
data_SrYH2
_symmetry_space_group_name_H-M 'P 1'
_symmetry_Int_Tables_number 1
_cell_length_a 4.671
_cell_length_b 4.671
_cell_length_c 4.671
_cell_angle_alpha 60.00
_cell_angle_beta 60.00
_cell_angle_gamma 60.00
loop_
_symmetry_equiv_pos_as_xyz
'x,y,z'
loop_
_atom_site_label
_atom_site_fract_x
_atom_site_fract_y
_atom_site_fract_z
_atom_site_occupancy
Sr1 0.000 0.000 0.000 1
H1 0.250 0.250 0.250 1
H2 0.750 0.750 0.750 1
Y1 0.500 0.500 0.500 1
# * relative energy among the computed polymorphs: 626.3 meV/atom
# * space group: No. 225
# * total DFT energy (no corrections): -3.36 eV/atom
# * DOS(E_F): 1.063 states/eV/atom
# * density: 4.12 g/cm³
# * calculated volume: 72 Å³/cell


[8]
# PBE-GGA SmIn4Br7, optimized geometry
data_SmIn4Br7
_symmetry_space_group_name_H-M 'P 1'
_symmetry_Int_Tables_number 1
_cell_length_a 5.601
_cell_length_b 7.918
_cell_length_c 11.661
_cell_angle_alpha 113.46
_cell_angle_beta 103.90
_cell_angle_gamma 90.00
loop_
_symmetry_equiv_pos_as_xyz
'x,y,z'
loop_
_atom_site_label
_atom_site_fract_x
_atom_site_fract_y
_atom_site_fract_z
_atom_site_occupancy
In1 0.305 0.867 0.611 1
In2 0.695 0.133 0.389 1
In3 0.583 0.533 0.167 1
In4 0.417 0.467 0.833 1
Br1 0.723 0.785 0.446 1
Br2 0.917 0.190 0.833 1
Br3 0.500 0.000 0.000 1
Br4 0.277 0.215 0.554 1
Br5 0.887 0.656 0.774 1
Br6 0.113 0.344 0.226 1
Br7 0.083 0.810 0.167 1
Sm1 0.000 0.000 0.000 1
# * space group: No. 12
# * total DFT energy (no corrections): -3.32 eV/atom
# * uncorrected formation energy: -1.03 eV/atom
# * DOS(E_F): 0.000 states/eV/atom
# * density: 4.24 g/cm³
# * calculated volume: 458 Å³/cell


[9]
# PBE-GGA YCo9B4, optimized geometry
data_YCo9B4
_symmetry_space_group_name_H-M 'P 1'
_symmetry_Int_Tables_number 1
_cell_length_a 7.442
_cell_length_b 7.442
_cell_length_c 7.442
_cell_angle_alpha 120.24
_cell_angle_beta 120.24
_cell_angle_gamma 89.59
loop_
_symmetry_equiv_pos_as_xyz
'x,y,z'
loop_
_atom_site_label
_atom_site_fract_x
_atom_site_fract_y
_atom_site_fract_z
_atom_site_occupancy
B1 0.500 0.000 0.791 1
B2 0.000 0.791 0.500 1
B3 0.000 0.209 0.500 1
B4 0.709 0.500 0.500 1
B5 0.291 0.500 0.500 1
B6 0.209 0.709 0.209 1
B7 0.500 0.000 0.209 1
B8 0.791 0.291 0.791 1
Co1 0.819 0.020 0.500 1
Co2 0.480 0.681 0.500 1
Co3 0.020 0.520 0.201 1
Co4 0.500 0.000 0.500 1
Co5 0.917 0.807 0.724 1
Co6 0.000 0.500 0.500 1
Co7 0.693 0.583 0.276 1
Co8 0.181 0.980 0.500 1
Co9 0.681 0.181 0.201 1
Co10 0.193 0.917 0.109 1
Co11 0.083 0.193 0.276 1
Co12 0.319 0.819 0.799 1
Co13 0.807 0.083 0.891 1
Co14 0.307 0.417 0.724 1
Co15 0.583 0.307 0.891 1
Co16 0.520 0.319 0.500 1
Co17 0.980 0.480 0.799 1
Co18 0.417 0.693 0.109 1
Y1 0.750 0.750 0.000 1
Y2 0.250 0.250 0.000 1
# * space group: No. 140
# * total DFT energy (no corrections): -7.15 eV/atom
# * DOS(E_F): 0.870 states/eV/atom
# * density: 7.58 g/cm³
# * calculated volume: 290 Å³/cell


[10]
# PBE-GGA LaTiHg2, optimized geometry
data_LaTiHg2
_symmetry_space_group_name_H-M 'P 1'
_symmetry_Int_Tables_number 1
_cell_length_a 4.815
_cell_length_b 4.815
_cell_length_c 10.535
_cell_angle_alpha 76.79
_cell_angle_beta 76.79
_cell_angle_gamma 90.00
loop_
_symmetry_equiv_pos_as_xyz
'x,y,z'
loop_
_atom_site_label
_atom_site_fract_x
_atom_site_fract_y
_atom_site_fract_z
_atom_site_occupancy
Hg1 0.875 0.803 0.750 1
Hg2 0.197 0.625 0.250 1
Hg3 0.553 0.125 0.250 1
Hg4 0.375 0.447 0.750 1
La1 0.000 0.000 0.000 1
La2 0.750 0.250 0.500 1
Ti1 0.500 0.500 0.000 1
Ti2 0.250 0.750 0.500 1
# * relative energy among the computed polymorphs: 380.6 meV/atom
# * space group: No. 122
# * total DFT energy (no corrections): -3.15 eV/atom
# * DOS(E_F): 1.367 states/eV/atom
# * density: 8.45 g/cm³
# * calculated volume: 231 Å³/cell


[11]
# PBE-GGA Sc2PaPtO8, optimized geometry
data_Sc2PaPtO8
_symmetry_space_group_name_H-M 'P 1'
_symmetry_Int_Tables_number 1
_cell_length_a 4.873
_cell_length_b 4.871
_cell_length_c 6.538
_cell_angle_alpha 90.00
_cell_angle_beta 90.00
_cell_angle_gamma 91.31
loop_
_symmetry_equiv_pos_as_xyz
'x,y,z'
loop_
_atom_site_label
_atom_site_fract_x
_atom_site_fract_y
_atom_site_fract_z
_atom_site_occupancy
O1 0.806 0.195 0.770 1
O2 0.293 0.293 0.000 1
O3 0.194 0.805 0.230 1
O4 0.707 0.707 0.000 1
O5 0.806 0.195 0.230 1
O6 0.690 0.691 0.500 1
O7 0.194 0.805 0.770 1
O8 0.310 0.309 0.500 1
Pa1 0.000 0.000 0.500 1
Pt1 0.000 0.000 0.000 1
Sc1 0.500 0.500 0.241 1
Sc2 0.500 0.500 0.759 1
# * space group: No. 65
# * total DFT energy (no corrections): -8.24 eV/atom
# * uncorrected formation energy: -2.58 eV/atom
# * DOS(E_F): 0.483 states/eV/atom
# * density: 6.89 g/cm³
# * calculated volume: 155 Å³/cell